1.
The following is a PBE calculation of a relaxed structure of Zn2Pb, from Alexandria.

Results
uncorrected energy	-1.985	eV/atom
energy of formation	0.101	eV/atom

a b c (Å): 5.5099 5.5099 9.4892
angles (deg): 90.00 90.00 120.00
Last column: nearest neighbours and their distance in Å.
Element x y z (fractional)
Pb1 0.3333 0.6667 0.0722  12 Zn 3.23-3.44, 4 Pb 3.37-3.46
Pb2 0.6667 0.3333 0.5722  12 Zn 3.23-3.44, 4 Pb 3.37-3.46
Pb3 0.6667 0.3333 0.9278  12 Zn 3.23-3.44, 4 Pb 3.37-3.46
Pb4 0.3333 0.6667 0.4278  12 Zn 3.23-3.44, 4 Pb 3.37-3.46
Zn1 0.0000 0.0000 0.0000  6 Zn 2.86
Zn2 0.0000 0.0000 0.5000  6 Zn 2.86
Zn3 0.8325 0.6649 0.2500  6 Zn 2.74-2.86
Zn4 0.1675 0.3351 0.7500  6 Zn 2.74-2.86
Zn5 0.3351 0.1675 0.2500  6 Zn 2.74-2.86
Zn6 0.8325 0.1675 0.2500  6 Zn 2.74-2.86
Zn7 0.1675 0.8325 0.7500  6 Zn 2.74-2.86
Zn8 0.6649 0.8325 0.7500  6 Zn 2.74-2.86

2.
The following is a PBE calculation of a relaxed structure of NaSrAcN, from Alexandria.

Results
formation energy from raw total energies	-0.478	eV per atom
uncorrected energy	-4.337	eV/atom

a b c (Å): 4.1509 4.1509 10.8552
angles (deg): 112.30 112.30 60.15
Last column: nearest neighbours and their distance in Å.
Element x y z (fractional)
Na1 0.3424 0.3424 0.6726  3 Sr 4.02-4.04, 1 N 4.06, 3 Ac 4.14-4.16, 6 Na 4.15-4.16
Sr1 0.8977 0.8977 0.0043  1 N 2.46
Ac1 0.7769 0.7769 0.3256  3 N 2.49
N1 0.0648 0.0648 0.2568  1 Sr 2.46, 3 Ac 2.49

3.
The following is a PBE calculation of a relaxed structure of CeSc2Pa, from Alexandria.

Results
uncorrected energy	-6.904	eV/atom
ΔE to the lowest computed polymorph	45	meV per atom
energy of formation	0.119	eV/atom

a b c (Å): 3.1912 3.1912 9.9884
angles (deg): 90.00 90.00 90.00
Last column: nearest neighbours and their distance in Å.
Element x y z (fractional)
Sc1 0.0000 0.0000 0.7619  4 Sc 3.19, 4 Pa 3.28, 4 Ce 3.45
Sc2 0.0000 0.0000 0.2381  4 Sc 3.19, 4 Pa 3.28, 4 Ce 3.45
Pa1 0.5000 0.5000 0.0000  4 Pa 3.19, 8 Sc 3.28
Ce1 0.5000 0.5000 0.5000  4 Ce 3.19, 8 Sc 3.45

4.
The following is a PBE calculation of a relaxed structure of Ta3Te2Se4, from Alexandria.

Results
formation energy from raw total energies	-0.635	eV per atom
uncorrected energy	-6.832	eV/atom

a b c (Å): 3.5336 3.5336 22.5753
angles (deg): 90.00 90.00 120.00
Last column: nearest neighbours and their distance in Å.
Element x y z (fractional)
Ta1 0.0000 0.0000 0.9766  6 Te 2.79-2.80
Ta2 0.0000 0.0000 0.3324  6 Se 2.63
Ta3 0.6667 0.3333 0.6500  6 Se 2.63
Te1 0.6667 0.3333 0.0613  3 Ta 2.80
Te2 0.6667 0.3333 0.8920  3 Ta 2.79
Se1 0.0000 0.0000 0.5766  3 Ta 2.63
Se2 0.6667 0.3333 0.4058  3 Ta 2.63
Se3 0.6667 0.3333 0.2589  3 Ta 2.63
Se4 0.0000 0.0000 0.7236  3 Ta 2.63

5.
The following is a PBE calculation of a relaxed structure of ZrCr2Fe, from Alexandria.

Results
uncorrected energy	-8.887	eV/atom
ΔE to the lowest computed polymorph	45	meV per atom
energy of formation	0.177	eV/atom

a b c (Å): 3.0937 4.1079 4.5037
angles (deg): 90.00 90.00 90.00
Last column: nearest neighbours and their distance in Å.
Element x y z (fractional)
Cr1 0.0000 0.0000 0.0000  4 Cr 2.57, 4 Fe 2.73
Cr2 0.5000 0.5000 0.0000  4 Cr 2.57, 4 Zr 2.73
Fe1 0.5000 0.0000 0.5000  4 Zr 2.57, 4 Cr 2.73
Zr1 0.0000 0.5000 0.5000  4 Fe 2.57, 4 Cr 2.73

6.
The following is a PBE calculation of a relaxed structure of LiCuTc, from Alexandria.

Results
uncorrected energy	-5.263	eV/atom
ΔE to the lowest computed polymorph	16	meV per atom
energy of formation	0.196	eV/atom

a b c (Å): 2.7038 2.6146 13.6007
angles (deg): 90.00 90.00 121.13
Last column: nearest neighbours and their distance in Å.
Element x y z (fractional)
Cu1 0.6098 0.2195 0.0000  6 Cu 2.61-2.70, 6 Tc 2.70-2.71
Cu2 0.2751 0.5502 0.5000  6 Cu 2.61-2.70, 6 Li 2.69-2.72
Li1 0.6255 0.2511 0.3364  6 Li 2.61-2.70, 3 Cu 2.69-2.72, 3 Tc 2.78-2.85
Li2 0.6255 0.2511 0.6636  6 Li 2.61-2.70, 3 Cu 2.69-2.72, 3 Tc 2.78-2.85
Tc1 0.2653 0.5306 0.8363  6 Tc 2.61-2.70, 3 Cu 2.70-2.71, 3 Li 2.78-2.85
Tc2 0.2653 0.5306 0.1637  6 Tc 2.61-2.70, 3 Cu 2.70-2.71, 3 Li 2.78-2.85